Record 1
First-principles (GGA-PBE) data for a geometry-optimized OsNCl3 structure, as listed in the Alexandria database.

```
OsNCl3
1.0
7.0837 0.0000 0.0000
0.0000 6.6736 0.0000
-0.3814 0.0000 12.5295
Os N Cl
4 4 12
Cartesian
0.4810 0.8336 1.4654
0.2903 5.8400 7.7301
6.4121 0.8336 4.7993
6.2214 5.8400 11.0641
0.0667 2.3877 2.5710
-0.1240 4.2858 8.8358
6.8264 2.3877 3.6937
6.6357 4.2858 9.9585
0.4939 1.3484 6.7809
0.6846 5.3252 0.5161
1.3671 0.0732 3.5729
1.1764 6.6004 9.8377
2.4606 1.5224 0.5905
2.2699 5.1511 6.8553
4.4325 1.5224 5.6742
4.2418 5.1511 11.9390
5.5260 0.0732 2.6918
5.3353 6.6004 8.9566
6.0178 1.3484 12.0134
6.2085 5.3252 5.7486
```

## Properties
The total energy comes out at -103.47 eV for the cell shown.

=====

Record 2
First-principles (GGA-PBE) data for a geometry-optimized OsNCl3 structure, as listed in the Alexandria database.

```
OsNCl3
1.0
4.4262 0.0000 0.0000
0.0000 4.4262 0.0000
0.0000 0.0000 4.4262
Os N Cl
1 1 3
Cartesian
0.0000 0.0000 0.0000
2.2131 2.2131 2.2131
0.0000 2.2131 2.2131
2.2131 0.0000 2.2131
2.2131 2.2131 0.0000
```

## Properties
The total energy comes out at -15.44 eV for the cell shown.

=====

Record 3
First-principles (GGA-PBE) data for a geometry-optimized OsNCl2 structure, as listed in the Alexandria database.

```
OsNCl2
1.0
1.5491 0.8944 7.4315
-1.5491 0.8944 7.4315
0.0000 -1.7887 7.4315
Os N Cl
1 1 2
Cartesian
0.0000 0.0000 0.0000
0.0000 0.0000 11.1473
0.0000 0.0000 9.2740
0.0000 0.0000 13.0206
```

## Properties
The total energy comes out at -15.95 eV for the cell shown.